[1]
A relaxed structure of ScInPb2, computed with PBEsol.

Calculated values
E_form: -0.217 eV per atom
crystal system: tetragonal
space group: P4/mmm, No. 123

a = 4.481 Å, b = 4.708 Å, c = 4.708 Å
α = 90.00°, β = 90.00°, γ = 90.00°
Sites, in units of the cell vectors:
Pb1 0.000 0.000 0.500
Pb2 0.000 0.500 0.000
Sc1 0.500 0.500 0.500
In1 0.500 0.000 0.000



[2]
A relaxed structure of ScInPb3, computed with PBEsol.

Calculated values
E_form: 0.661 eV per atom
crystal system: cubic
space group: Pm-3m, No. 221

a = 5.562 Å, b = 5.562 Å, c = 5.562 Å
α = 90.00°, β = 90.00°, γ = 90.00°
Sites, in units of the cell vectors:
Pb1 0.000 0.500 0.000
Pb2 0.000 0.000 0.500
Pb3 0.500 0.000 0.000
Sc1 0.500 0.500 0.500
In1 0.000 0.000 0.000